This record from Alexandria via LeMat-Bulk describes a geometry-optimized Mg2AlGeN structure. The functional is GGA-PBE.

Geometry as POSCAR:
```
Mg2AlGeN
1.0
4.292 0.000 0.000
0.000 4.292 0.000
0.000 0.000 3.978
Mg Al Ge N
2 1 1 1
direct
0.000 0.500 0.000 Mg
0.500 0.000 0.000 Mg
0.000 0.000 0.500 Al
0.500 0.500 0.500 Ge
0.000 0.000 0.000 N
```

Properties
The formation energy (no corrections) comes out at -8.87 kcal/mol of atoms. For the magnetic moment, the calculation gives 0.00 μB per formula unit.

=====

This record from Alexandria via LeMat-Bulk describes a geometry-optimized La4ScTe5 structure. The functional is GGA-PBE.

Geometry as POSCAR:
```
La4ScTe5
1.0
-2.258 2.258 15.931
2.258 -2.258 15.931
2.258 2.258 -15.931
La Sc Te
4 1 5
direct
0.101 0.101 0.000 La
0.306 0.306 0.000 La
0.694 0.694 0.000 La
0.899 0.899 0.000 La
0.500 0.500 0.000 Sc
0.000 0.000 0.000 Te
0.203 0.203 0.000 Te
0.408 0.408 0.000 Te
0.592 0.592 0.000 Te
0.797 0.797 0.000 Te
```

Properties
The formation energy (no corrections) comes out at -33.61 kcal/mol of atoms. For the magnetic moment, the calculation gives 0.00 μB per formula unit.

=====

This record from Alexandria via LeMat-Bulk describes a geometry-optimized Ba2TlCd6In structure. The functional is GGA-PBE.

Geometry as POSCAR:
```
Ba2TlCd6In
1.0
3.739 2.158 13.527
-3.739 2.158 13.527
0.000 -4.317 13.527
Ba Tl Cd In
4 2 12 2
direct
0.137 0.137 0.137 Ba
0.303 0.303 0.303 Ba
0.697 0.697 0.697 Ba
0.863 0.863 0.863 Ba
0.415 0.415 0.415 Tl
0.585 0.585 0.585 Tl
0.054 0.651 0.651 Cd
0.190 0.190 0.790 Cd
0.190 0.790 0.190 Cd
0.210 0.810 0.810 Cd
0.349 0.349 0.946 Cd
0.349 0.946 0.349 Cd
0.651 0.054 0.651 Cd
0.651 0.651 0.054 Cd
0.790 0.190 0.190 Cd
0.810 0.210 0.810 Cd
0.810 0.810 0.210 Cd
0.946 0.349 0.349 Cd
0.000 0.000 0.000 In
0.500 0.500 0.500 In
```

Properties
For the final energy, the calculation gives -1.56 eV per atom. For the magnetic moment, the calculation gives 0.00 μB per formula unit.

=====

This record from Alexandria via LeMat-Bulk describes a geometry-optimized SmCuAg2 structure. The functional is GGA-PBE.

Geometry as POSCAR:
```
SmCuAg2
1.0
2.284 1.319 4.661
-2.284 1.319 4.661
0.000 -2.637 4.661
Sm Cu Ag
1 1 2
direct
0.000 0.000 0.000 Sm
0.500 0.500 0.500 Cu
0.217 0.217 0.217 Ag
0.783 0.783 0.783 Ag
```

Properties
For the final energy, the calculation gives -3.74 eV per atom. For the magnetic moment, the calculation gives 0.00 μB per formula unit.

=====

This record from Alexandria via LeMat-Bulk describes a geometry-optimized Tl3Tc structure. The functional is GGA-PBE.

Geometry as POSCAR:
```
Tl3Tc
1.0
5.028 2.903 1.115
-5.028 2.903 1.115
0.000 -5.806 1.115
Tl Tc
3 1
direct
0.000 0.500 0.500 Tl
0.500 0.000 0.500 Tl
0.500 0.500 0.000 Tl
0.000 0.000 0.000 Tc
```

Properties
For the final energy, the calculation gives -3.62 eV per atom. For the magnetic moment, the calculation gives 2.43 μB per formula unit.

=====

This record from Alexandria via LeMat-Bulk describes a geometry-optimized Pm3Nd6DyY2 structure. The functional is GGA-PBE.

Geometry as POSCAR:
```
Pm3Nd6DyY2
1.0
3.163 -5.481 0.000
3.163 5.481 0.000
-2.109 0.000 11.841
Pm Nd Dy Y
3 6 1 2
direct
0.000 0.000 0.000 Pm
0.333 0.667 0.000 Pm
0.667 0.333 0.000 Pm
0.085 0.417 0.252 Nd
0.250 0.250 0.747 Nd
0.417 0.085 0.252 Nd
0.583 0.915 0.748 Nd
0.750 0.750 0.253 Nd
0.915 0.583 0.748 Nd
0.500 0.500 0.500 Dy
0.167 0.833 0.500 Y
0.833 0.167 0.500 Y
```

Properties
For the final energy, the calculation gives -5.02 eV per atom. For the magnetic moment, the calculation gives 0.00 μB per formula unit.

=====

This record from Alexandria via LeMat-Bulk describes a geometry-optimized In2TcTe structure. The functional is GGA-PBE.

Geometry as POSCAR:
```
In2TcTe
1.0
3.596 0.000 0.000
0.000 3.596 0.000
0.000 0.000 6.737
In Tc Te
2 1 1
direct
0.000 0.000 0.211 In
0.000 0.000 0.789 In
0.500 0.500 0.000 Tc
0.500 0.500 0.500 Te
```

Properties
The formation energy (no corrections) comes out at 8.43 kcal/mol of atoms. For the magnetic moment, the calculation gives 0.00 μB per formula unit.

=====

This record from Alexandria via LeMat-Bulk describes a geometry-optimized Ca2YOs2 structure. The functional is GGA-PBE.

Geometry as POSCAR:
```
Ca2YOs2
1.0
7.127 0.000 0.000
0.000 7.127 0.000
0.000 0.000 4.836
Ca Y Os
4 2 4
direct
0.168 0.332 0.000 Ca
0.332 0.832 0.000 Ca
0.668 0.168 0.000 Ca
0.832 0.668 0.000 Ca
0.000 0.000 0.500 Y
0.500 0.500 0.500 Y
0.118 0.618 0.500 Os
0.382 0.118 0.500 Os
0.618 0.882 0.500 Os
0.882 0.382 0.500 Os
```

Properties
For the final energy, the calculation gives -6.31 eV per atom. For the magnetic moment, the calculation gives 0.00 μB per formula unit.

=====

This record from Alexandria via LeMat-Bulk describes a geometry-optimized In3SiW structure. The functional is GGA-PBE.

Geometry as POSCAR:
```
In3SiW
1.0
5.120 0.000 0.000
0.000 5.120 0.000
0.000 0.000 5.120
In Si W
3 1 1
direct
0.000 0.000 0.500 In
0.000 0.500 0.000 In
0.500 0.000 0.000 In
0.000 0.000 0.000 Si
0.500 0.500 0.500 W
```

Properties
The formation energy (no corrections) comes out at 33.15 kcal/mol of atoms. For the magnetic moment, the calculation gives 3.77 μB per formula unit.

=====

This record from Alexandria via LeMat-Bulk describes a geometry-optimized HfMnIn structure. The functional is GGA-PBE.

Geometry as POSCAR:
```
HfMnIn
1.0
2.228 -5.370 0.000
2.228 5.370 0.000
0.000 0.000 4.454
Hf Mn In
2 2 2
direct
0.111 0.889 0.750 Hf
0.889 0.111 0.250 Hf
0.243 0.757 0.250 Mn
0.757 0.243 0.750 Mn
0.397 0.603 0.750 In
0.603 0.397 0.250 In
```

Properties
For the final energy, the calculation gives -7.28 eV per atom. For the magnetic moment, the calculation gives 0.00 μB per formula unit.

=====

This record from Alexandria via LeMat-Bulk describes a geometry-optimized Tb3Sm2DyS6 structure. The functional is GGA-PBE.

Geometry as POSCAR:
```
Tb3Sm2DyS6
1.0
8.603 -1.969 0.000
8.603 1.969 0.000
-1.848 0.000 7.720
Tb Sm Dy S
3 2 1 6
direct
0.000 0.000 0.000 Tb
0.332 0.332 0.667 Tb
0.668 0.668 0.333 Tb
0.333 0.333 0.165 Sm
0.667 0.667 0.835 Sm
0.000 0.000 0.500 Dy
0.165 0.165 0.088 S
0.165 0.165 0.577 S
0.498 0.498 0.747 S
0.502 0.502 0.253 S
0.835 0.835 0.423 S
0.835 0.835 0.912 S
```

Properties
The formation energy (no corrections) comes out at -46.39 kcal/mol of atoms. For the magnetic moment, the calculation gives 0.00 μB per formula unit.

=====

This record from Alexandria via LeMat-Bulk describes a geometry-optimized Na2HoInTe4 structure. The functional is GGA-PBE.

Geometry as POSCAR:
```
Na2HoInTe4
1.0
7.659 0.000 0.000
0.000 4.348 0.000
-2.557 0.000 7.601
Na Ho In Te
2 1 1 4
direct
0.000 0.000 0.000 Na
0.500 0.500 0.000 Na
0.000 0.500 0.500 Ho
0.500 0.000 0.500 In
0.241 0.000 0.733 Te
0.267 0.500 0.278 Te
0.733 0.500 0.722 Te
0.759 0.000 0.267 Te
```

Properties
The formation energy (no corrections) comes out at -20.77 kcal/mol of atoms. For the magnetic moment, the calculation gives 0.00 μB per formula unit.

=====

Which formula does entry 6 have? Pm3Nd6DyY2

=====

magnetic moment of number 3 (Ba2TlCd6In)? 0.00 μB per formula unit

=====

Which value of magnetic moment does entry 8 give? 0.00 μB per formula unit

=====

Which value of magnetic moment does entry 4 give? 0.00 μB per formula unit